28
Lattice="-2.048 -1.131 3.090 7.890 -8.821 2.003 7.562 8.619 8.167" Properties=species:S:1:pos:R:3 comment="PmDy2S4, optimized geometry, DFT PBE" e_tot_ev_per_cell=-179.19 spacegroup="Pnma (62)" formation_energy_uncorrected_ev_per_atom=-2.05 de_polymorph_mev_per_atom=22.1 pbc="T T T"
S -0.189 -1.023 3.146
S 3.207 -0.781 5.487
S 4.620 3.247 5.466
S 11.699 2.408 9.852
S 6.358 -2.468 6.958
S 1.963 1.777 3.167
S 7.046 1.135 6.302
S 6.176 -6.303 5.434
S 7.990 1.864 9.625
S 7.228 4.971 7.826
S 5.414 -3.197 3.634
S 13.593 -0.309 10.114
S 11.441 -3.109 10.093
S 10.197 -0.552 7.773
S 8.784 -4.579 7.794
S 1.705 -3.741 3.408
Dy 7.733 -7.569 3.572
Dy 2.281 1.815 5.823
Dy 5.671 6.237 9.688
Dy 3.868 -5.284 4.277
Dy 11.122 -3.147 7.437
Dy 9.536 3.951 8.983
Dy 7.545 -0.534 8.453
Dy 5.858 -0.799 4.807
Pm 10.690 -0.307 10.621
Pm 5.500 2.685 8.275
Pm 2.714 -1.026 2.639
Pm 7.903 -4.017 4.985